Entry 1:
A relaxed AlReIr2 crystal. Source: Alexandria via LeMat-Bulk, functional GGA-PBE.

Lattice parameters (Å, degrees): 4.661 4.661 4.661 130.02 130.02 73.38
Last column: magnetic moment on the atom in μB.
Element x y z (fractional)
Re 0.250 0.750 0.500  0.19
Al 0.750 0.250 0.500  0.00
Ir 0.000 0.000 0.000  0.01
Ir 0.500 0.500 0.000  0.01


Entry 2:
A relaxed AlReIr2 crystal. Source: Alexandria via LeMat-Bulk, functional GGA-PBE.

Lattice parameters (Å, degrees): 4.730 4.730 4.693 81.08 81.08 34.28
Element x y z (fractional)
Ir 0.751 0.751 0.719
Ir 0.000 0.000 0.036
Al 0.255 0.255 0.219
Re 0.494 0.494 0.527


Entry 3:
A relaxed AlReIr2 crystal. Source: Alexandria via LeMat-Bulk, functional GGA-PBE.

Lattice parameters (Å, degrees): 2.818 4.616 4.505 90.00 90.00 90.00
Element x y z (fractional)
Re 0.500 0.000 0.500
Ir 0.000 0.000 0.000
Ir 0.500 0.500 0.000
Al 0.000 0.500 0.500


Entry 4:
A relaxed Al2ReIr crystal. Source: Alexandria via LeMat-Bulk, functional GGA-PBE.

Lattice parameters (Å, degrees): 4.429 4.429 5.062 80.11 80.11 36.61
Element x y z (fractional)
Ir 0.750 0.750 0.750
Re 0.250 0.250 0.250
Al 0.497 0.497 0.506
Al 0.003 0.003 0.994


Entry 5:
A relaxed AlReIr2 crystal. Source: Alexandria via LeMat-Bulk, functional GGA-PBE.

Lattice parameters (Å, degrees): 2.831 2.831 7.199 90.00 90.00 90.00
Element x y z (fractional)
Re 0.000 0.000 0.503
Al 0.500 0.500 0.760
Ir 0.000 0.000 0.977
Ir 0.500 0.500 0.260


Entry 6:
A relaxed AlReIr2 crystal. Source: Alexandria via LeMat-Bulk, functional GGA-PBE.

Lattice parameters (Å, degrees): 5.354 5.354 7.106 67.87 67.87 90.00
Element x y z (fractional)
Al 0.250 0.750 0.500
Al 0.500 0.500 0.000
Ir 0.120 0.625 0.250
Ir 0.875 0.880 0.750
Ir 0.375 0.370 0.750
Ir 0.630 0.125 0.250
Re 0.000 0.000 0.000
Re 0.750 0.250 0.500


Number 1: density of states at the Fermi level 1.09 states/eV/atom, DFT formation energy -0.277 eV per atom, E_tot -8.755 eV/atom. Number 2: density of states at the Fermi level 0.58 states/eV/atom, DFT formation energy -0.342 eV per atom, E_tot -8.820 eV/atom. Number 3: density of states at the Fermi level 0.79 states/eV/atom, DFT formation energy -0.076 eV per atom, E_tot -8.554 eV/atom. Number 4: density of states at the Fermi level 0.62 states/eV/atom, DFT formation energy -0.327 eV per atom, E_tot -7.525 eV/atom. Number 5: density of states at the Fermi level 0.80 states/eV/atom, DFT formation energy -0.283 eV per atom, E_tot -8.761 eV/atom. Number 6: density of states at the Fermi level 0.39 states/eV/atom, DFT formation energy 0.624 eV per atom, E_tot -7.855 eV/atom.